Record 1
Material: LiAgTeWSe2
Method: DFT, GGA-PBE
State: optimized geometry

Structure (extended XYZ):
```
12
Lattice="1.768 -6.844 0.000 1.768 6.844 0.000 0.000 0.000 10.349" Properties=species:S:1:pos:R:3 pbc="T T T"
Se 1.768 -1.885 5.531
Ag 1.768 0.712 2.587
Te 1.768 5.380 2.587
W 0.000 0.000 5.174
Se 1.768 -1.885 9.992
Te 1.768 -5.380 7.762
Li 1.768 3.895 7.762
W 0.000 0.000 0.000
Ag 1.768 -0.712 7.762
Se 1.768 1.885 0.357
Se 1.768 1.885 4.818
Li 1.768 -3.895 2.587
```

Calculated values
The total energy comes out at -4.7723 eV per atom.


Record 2
Material: LiZrReTe
Method: DFT, GGA-PBE
State: optimized geometry

Structure (extended XYZ):
```
4
Lattice="0.000 3.268 3.268 3.268 0.000 3.268 3.268 3.268 0.000" Properties=species:S:1:pos:R:3 pbc="T T T"
Te 1.634 1.634 1.634
Zr 0.000 0.000 0.000
Re 3.268 3.268 3.268
Li 4.902 4.902 4.902
```

Calculated values
The total energy comes out at -6.2188 eV per atom. The value obtained for the energy above the most stable polymorph in this dataset is 407 meV per atom.


Record 3
Material: Pm2Al
Method: DFT, GGA-PBE
State: optimized geometry

Structure (extended XYZ):
```
6
Lattice="-1.379 -8.988 1.445 6.975 -5.937 -0.935 3.604 -4.075 7.428" Properties=species:S:1:pos:R:3 pbc="T T T"
Pm 2.760 -11.619 3.699
Pm 6.938 -10.093 2.510
Al 2.300 -4.750 1.985
Al 4.600 -9.500 3.969
Pm 5.252 -9.162 6.691
Pm 3.450 -7.125 2.977
```

Calculated values
The total energy comes out at -2.8828 eV per atom. The value obtained for the energy above the most stable polymorph in this dataset is 1169 meV per atom.


Record 4
Material: Nb2AlC
Method: DFT, GGA-PBE
State: optimized geometry

Structure (extended XYZ):
```
24
Lattice="4.690 -2.710 0.000 4.690 2.710 0.000 -3.137 0.000 13.914" Properties=species:S:1:pos:R:3 pbc="T T T"
C 2.345 -1.355 0.000
Nb 5.466 0.449 8.200
Al 3.906 -2.249 3.479
Nb -0.791 0.449 12.671
C 0.777 1.355 6.957
Al 3.902 -0.461 10.436
Nb 3.909 -0.449 1.246
C 3.903 1.353 6.957
Nb 7.035 -0.449 1.243
Nb 0.777 -0.449 5.714
Al 0.772 -0.461 10.435
Nb 0.780 -0.450 1.244
Nb 3.903 -0.449 5.711
C 2.340 -1.353 6.957
Nb 2.340 0.449 8.203
Al 2.337 2.249 10.436
Al 2.341 0.461 3.478
Nb -0.788 0.450 8.201
Nb 7.032 -0.450 5.713
C 3.909 1.353 0.000
Nb 2.334 0.449 12.668
C 5.472 -1.353 0.000
Al 5.471 0.461 3.479
Nb 5.463 0.450 12.671
```

Calculated values
The total energy comes out at -8.7995 eV per atom.


Question: What is the formula in the third record?
Answer: Pm2Al